1.
PaGaI6 after structural relaxation. Source: Alexandria, functional PBE-GGA.

Properties
The value obtained for the total energy is -28.21 eV/cell. As for the formation energy without anion corrections: -0.80 eV per atom. Its space-group type is C2/m (12).

Unit cell a=7.9766 b=7.9766 c=7.7771 alpha=98.44 beta=98.44 gamma=121.36
Closest atoms and distances in Å follow each position.
Positions (direct):
Pa1 0.0000 0.0000 0.0000  6 I 2.94-2.96
Ga1 0.5000 0.5000 0.5000  6 I 3.23-3.34
I1 0.0788 0.3750 0.2346  1 Pa 2.96, 1 Ga 3.23
I2 0.2396 0.2396 0.7716  1 Pa 2.94
I3 0.3750 0.0788 0.2346  1 Pa 2.96, 1 Ga 3.23
I4 0.6250 0.9212 0.7654  1 Pa 2.96, 1 Ga 3.23
I5 0.7604 0.7604 0.2284  1 Pa 2.94
I6 0.9212 0.6250 0.7654  1 Pa 2.96, 1 Ga 3.23


2.
PaGa2I7 after structural relaxation. Source: Alexandria, functional PBE-GGA.

Properties
The value obtained for the total energy is -65.78 eV/cell. As for the formation energy without anion corrections: -0.65 eV per atom. Its space-group type is C2/c (15).

Unit cell a=11.3620 b=11.3620 c=14.5306 alpha=125.90 beta=125.90 gamma=50.31
Closest atoms and distances in Å follow each position.
Positions (direct):
Pa1 0.1780 0.8220 0.7500  7 I 2.99-3.10
Pa2 0.8220 0.1780 0.2500  7 I 2.99-3.10
Ga1 0.1622 0.7128 0.9704  4 I 3.09-3.37
Ga2 0.2872 0.8378 0.5296  4 I 3.09-3.37
Ga3 0.7128 0.1622 0.4704  4 I 3.09-3.37
Ga4 0.8378 0.2872 0.0296  4 I 3.09-3.37
I1 0.0154 0.7893 0.4816  1 Pa 3.08, 2 Ga 3.09-3.37
I2 0.0365 0.2988 0.3100  1 Pa 2.99, 1 Ga 3.27
I3 0.1377 0.8623 0.2500  1 Pa 3.05
I4 0.2107 0.9846 0.0184  1 Pa 3.08, 2 Ga 3.09-3.37
I5 0.2988 0.0365 0.8100  1 Pa 2.99, 1 Ga 3.27
I6 0.4187 0.5399 0.8530  1 Pa 3.10, 1 Ga 3.14
I7 0.4601 0.5813 0.6470  1 Pa 3.10, 1 Ga 3.14
I8 0.5399 0.4187 0.3530  1 Pa 3.10, 1 Ga 3.14
I9 0.5813 0.4601 0.1470  1 Pa 3.10, 1 Ga 3.14
I10 0.7012 0.9635 0.1900  1 Pa 2.99, 1 Ga 3.27
I11 0.7893 0.0154 0.9816  1 Pa 3.08, 2 Ga 3.09-3.37
I12 0.8623 0.1377 0.7500  1 Pa 3.05
I13 0.9635 0.7012 0.6900  1 Pa 2.99, 1 Ga 3.27
I14 0.9846 0.2107 0.5184  1 Pa 3.08, 2 Ga 3.09-3.37


3.
PaGa2I8 after structural relaxation. Source: Alexandria, functional PBE-GGA.

Properties
The value obtained for the total energy is -34.40 eV/cell. As for the formation energy without anion corrections: -0.59 eV per atom. Its space-group type is C2/m (12).

Unit cell a=9.4486 b=9.4486 c=8.2350 alpha=112.28 beta=112.28 gamma=60.21
Closest atoms and distances in Å follow each position.
Positions (direct):
Pa1 0.0000 0.0000 0.0000  2 Ga 2.95, 6 I 3.05-3.06
Ga1 0.1992 0.1992 0.1279  1 I 2.52
Ga2 0.8008 0.8008 0.8721  1 I 2.52
I1 0.0844 0.0844 0.7332  1 Ga 2.96, 1 Pa 3.06
I2 0.1209 0.6460 0.7605  1 Ga 2.97, 1 Pa 3.05
I3 0.3540 0.8791 0.2395  1 Ga 2.97, 1 Pa 3.05
I4 0.3703 0.3703 0.2517  1 Ga 2.52
I5 0.6297 0.6297 0.7483  1 Ga 2.52
I6 0.6460 0.1209 0.7605  1 Ga 2.97, 1 Pa 3.05
I7 0.8791 0.3540 0.2395  1 Ga 2.97, 1 Pa 3.05
I8 0.9156 0.9156 0.2668  1 Ga 2.96, 1 Pa 3.06


4.
RbPaGa2I8 after structural relaxation. Source: Alexandria, functional PBE-GGA.

Properties
The value obtained for the total energy is -38.65 eV/cell. As for the formation energy without anion corrections: -0.81 eV per atom. Its space-group type is P-1 (2).

Unit cell a=7.5328 b=8.0679 c=10.2235 alpha=90.06 beta=90.14 gamma=91.99
Closest atoms and distances in Å follow each position.
Positions (direct):
Rb1 0.0000 0.0000 0.0000  6 I 3.65-3.71
Pa1 0.0000 0.0000 0.5000  6 I 2.93-2.98
Ga1 0.5002 0.5001 0.2129  2 I 2.99
Ga2 0.4998 0.4999 0.7871  2 I 2.99
I1 0.2111 0.7019 0.4993  1 Pa 2.93
I2 0.2397 0.1490 0.2976  1 Pa 2.98
I3 0.2407 0.1479 0.7036  1 Pa 2.98
I4 0.2764 0.6375 0.9998  2 Ga 2.99
I5 0.7236 0.3625 0.0002  2 Ga 2.99
I6 0.7593 0.8521 0.2964  1 Pa 2.98
I7 0.7603 0.8510 0.7024  1 Pa 2.98
I8 0.7889 0.2981 0.5007  1 Pa 2.93


5.
Rb2PaGaI6 after structural relaxation. Source: Alexandria, functional PBE-GGA.

Properties
The value obtained for the total energy is -66.88 eV/cell. As for the formation energy without anion corrections: -0.97 eV per atom. Its space-group type is R-3m (166).

Unit cell a=14.9285 b=14.9285 c=14.9285 alpha=34.87 beta=34.87 gamma=34.87
Closest atoms and distances in Å follow each position.
Positions (direct):
Rb1 0.1277 0.1277 0.1277  12 I 4.01-4.48
Rb2 0.2807 0.2807 0.2807  9 I 4.03-4.49
Rb3 0.7193 0.7193 0.7193  9 I 4.03-4.49
Rb4 0.8723 0.8723 0.8723  12 I 4.01-4.48
Pa1 0.0000 0.0000 0.0000  6 I 3.08
Pa2 0.5000 0.5000 0.5000  6 I 3.17, 2 Ga 3.27
Ga1 0.4223 0.4223 0.4223  6 I 3.24-3.30, 1 Pa 3.27
Ga2 0.5777 0.5777 0.5777  6 I 3.24-3.30, 1 Pa 3.27
I1 0.1072 0.6405 0.6405  1 Pa 3.17, 1 Ga 3.24
I2 0.2039 0.2039 0.7206  1 Pa 3.08, 1 Ga 3.30
I3 0.2039 0.7206 0.2039  1 Pa 3.08, 1 Ga 3.30
I4 0.2794 0.7961 0.7961  1 Pa 3.08, 1 Ga 3.30
I5 0.3595 0.3595 0.8928  1 Pa 3.17, 1 Ga 3.24
I6 0.3595 0.8928 0.3595  1 Pa 3.17, 1 Ga 3.24
I7 0.6405 0.1072 0.6405  1 Pa 3.17, 1 Ga 3.24
I8 0.6405 0.6405 0.1072  1 Pa 3.17, 1 Ga 3.24
I9 0.7206 0.2039 0.2039  1 Pa 3.08, 1 Ga 3.30
I10 0.7961 0.2794 0.7961  1 Pa 3.08, 1 Ga 3.30
I11 0.7961 0.7961 0.2794  1 Pa 3.08, 1 Ga 3.30
I12 0.8928 0.3595 0.3595  1 Pa 3.17, 1 Ga 3.24


6.
SrPaGa2I8 after structural relaxation. Source: Alexandria, functional PBE-GGA.

Properties
The value obtained for the total energy is -40.60 eV/cell. As for the formation energy without anion corrections: -0.91 eV per atom. Its space-group type is P2/m (10).

Unit cell a=7.4477 b=9.5164 c=7.9202 alpha=90.00 beta=91.98 gamma=90.00
Closest atoms and distances in Å follow each position.
Positions (direct):
Sr1 0.0000 0.0000 0.0000  6 I 3.28-3.34
Pa1 0.0000 0.5000 0.0000  6 I 3.00-3.08
Ga1 0.5000 0.2372 0.5000  4 I 3.11-3.47
Ga2 0.5000 0.7628 0.5000  4 I 3.11-3.47
I1 0.2326 0.5000 0.3163  1 Pa 3.00
I2 0.2358 0.2686 0.8499  1 Pa 3.08, 1 Sr 3.34
I3 0.2358 0.7314 0.8499  1 Pa 3.08, 1 Sr 3.34
I4 0.2638 0.0000 0.3396  2 Ga 3.11, 1 Sr 3.28
I5 0.7362 0.0000 0.6604  2 Ga 3.11, 1 Sr 3.28
I6 0.7642 0.2686 0.1501  1 Pa 3.08, 1 Sr 3.34
I7 0.7642 0.7314 0.1501  1 Pa 3.08, 1 Sr 3.34
I8 0.7674 0.5000 0.6837  1 Pa 3.00